Material: PrTlCd
Method: DFT, GGA-PBEsol
State: relaxed

CIF file:
```
data_PrTlCd
_symmetry_space_group_name_H-M 'P 63/m m c'
_symmetry_Int_Tables_number 194
_symmetry_space_group_name_Hall '-P 6c 2c'
_cell_length_a 4.9417
_cell_length_b 4.9417
_cell_length_c 7.3935
_cell_angle_alpha 90.00
_cell_angle_beta 90.00
_cell_angle_gamma 120.00
loop_
_atom_site_label
_atom_site_type_symbol
_atom_site_fract_x
_atom_site_fract_y
_atom_site_fract_z
_atom_site_occupancy
Pr1 Pr 0.0000 0.0000 0.0000 1
Tl1 Tl 0.3333 0.6667 0.2500 1
Cd1 Cd 0.3333 0.6667 0.7500 1
```

ΔE_f: -391.3 meV/atom

Material: In2CoSb
Method: DFT, GGA-PBEsol
State: relaxed

CIF file:
```
data_In2CoSb
_symmetry_space_group_name_H-M 'I m m m'
_symmetry_Int_Tables_number 71
_symmetry_space_group_name_Hall '-I 2 2'
_cell_length_a 3.096
_cell_length_b 4.112
_cell_length_c 13.083
_cell_angle_alpha 90.00
_cell_angle_beta 90.00
_cell_angle_gamma 90.00
loop_
_atom_site_label
_atom_site_type_symbol
_atom_site_fract_x
_atom_site_fract_y
_atom_site_fract_z
_atom_site_occupancy
In1 In 0.000 0.000 0.180 1
Co1 Co 0.000 0.500 0.500 1
Sb1 Sb 0.000 0.500 0.000 1
```

E_form (uncorrected): 0.121 eV per atom

Material: ZrAs2Ru
Method: DFT, GGA-PBEsol
State: relaxed

CIF file:
```
data_ZrAs2Ru
_symmetry_space_group_name_H-M 'I m m m'
_symmetry_Int_Tables_number 71
_symmetry_space_group_name_Hall '-I 2 2'
_cell_length_a 3.001
_cell_length_b 5.169
_cell_length_c 8.732
_cell_angle_alpha 90.00
_cell_angle_beta 90.00
_cell_angle_gamma 90.00
loop_
_atom_site_label
_atom_site_type_symbol
_atom_site_fract_x
_atom_site_fract_y
_atom_site_fract_z
_atom_site_occupancy
Zr1 Zr 0.000 0.000 0.000 1
As1 As 0.000 0.500 0.222 1
Ru1 Ru 0.000 0.000 0.500 1
```

ΔE_f: -272.9 meV/atom

Material: SbPdO3
Method: DFT, GGA-PBEsol
State: relaxed

CIF file:
```
data_SbPdO3
_symmetry_space_group_name_H-M 'P m -3 m'
_symmetry_Int_Tables_number 221
_symmetry_space_group_name_Hall '-P 4 2 3'
_cell_length_a 3.946
_cell_length_b 3.946
_cell_length_c 3.946
_cell_angle_alpha 90.00
_cell_angle_beta 90.00
_cell_angle_gamma 90.00
loop_
_atom_site_label
_atom_site_type_symbol
_atom_site_fract_x
_atom_site_fract_y
_atom_site_fract_z
_atom_site_occupancy
Sb1 Sb 0.000 0.000 0.000 1
Pd1 Pd 0.500 0.500 0.500 1
O1 O 0.000 0.000 0.500 1
```

E_form (uncorrected): -0.473 eV per atom

Material: ScReCl3
Method: DFT, GGA-PBEsol
State: relaxed

CIF file:
```
data_ScReCl3
_symmetry_space_group_name_H-M 'P m -3 m'
_symmetry_Int_Tables_number 221
_symmetry_space_group_name_Hall '-P 4 2 3'
_cell_length_a 4.706
_cell_length_b 4.706
_cell_length_c 4.706
_cell_angle_alpha 90.00
_cell_angle_beta 90.00
_cell_angle_gamma 90.00
loop_
_atom_site_label
_atom_site_type_symbol
_atom_site_fract_x
_atom_site_fract_y
_atom_site_fract_z
_atom_site_occupancy
Sc1 Sc 0.000 0.000 0.000 1
Re1 Re 0.500 0.500 0.500 1
Cl1 Cl 0.000 0.500 0.500 1
```

E_form (uncorrected): 0.268 eV per atom

Material: Li2TaAu
Method: DFT, GGA-PBEsol
State: relaxed

CIF file:
```
data_Li2TaAu
_symmetry_space_group_name_H-M 'F -4 3 m'
_symmetry_Int_Tables_number 216
_symmetry_space_group_name_Hall 'F -4 2 3'
_cell_length_a 6.190
_cell_length_b 6.190
_cell_length_c 6.190
_cell_angle_alpha 90.00
_cell_angle_beta 90.00
_cell_angle_gamma 90.00
loop_
_atom_site_label
_atom_site_type_symbol
_atom_site_fract_x
_atom_site_fract_y
_atom_site_fract_z
_atom_site_occupancy
Li1 Li 0.000 0.000 0.000 1
Li2 Li 0.250 0.250 0.250 1
Ta1 Ta 0.250 0.250 0.750 1
Au1 Au 0.000 0.000 0.500 1
```

ΔE_f: 51.8 meV/atom

Material: BTe2W
Method: DFT, GGA-PBEsol
State: relaxed

CIF file:
```
data_BTe2W
_symmetry_space_group_name_H-M 'I -4 2 d'
_symmetry_Int_Tables_number 122
_symmetry_space_group_name_Hall 'I -4 2bw'
_cell_length_a 5.876
_cell_length_b 5.876
_cell_length_c 10.100
_cell_angle_alpha 90.00
_cell_angle_beta 90.00
_cell_angle_gamma 90.00
loop_
_atom_site_label
_atom_site_type_symbol
_atom_site_fract_x
_atom_site_fract_y
_atom_site_fract_z
_atom_site_occupancy
B1 B 0.000 0.000 0.000 1
Te1 Te 0.199 0.250 0.125 1
W1 W 0.000 0.000 0.500 1
```

E_form (uncorrected): 1.055 eV per atom

Material: K2CeCuBr6
Method: DFT, GGA-PBEsol
State: relaxed

CIF file:
```
data_K2CeCuBr6
_symmetry_space_group_name_H-M 'F m -3 m'
_symmetry_Int_Tables_number 225
_symmetry_space_group_name_Hall '-F 4 2 3'
_cell_length_a 10.872
_cell_length_b 10.872
_cell_length_c 10.872
_cell_angle_alpha 90.00
_cell_angle_beta 90.00
_cell_angle_gamma 90.00
loop_
_atom_site_label
_atom_site_type_symbol
_atom_site_fract_x
_atom_site_fract_y
_atom_site_fract_z
_atom_site_occupancy
K1 K 0.250 0.250 0.250 1
Ce1 Ce 0.000 0.000 0.000 1
Cu1 Cu 0.000 0.000 0.500 1
Br1 Br 0.000 0.000 0.262 1
```

E_form (uncorrected): -1.365 eV per atom

Material: Li5CoO4
Method: DFT, GGA-PBEsol
State: relaxed

CIF file:
```
data_Li5CoO4
_symmetry_space_group_name_H-M 'P n n m'
_symmetry_Int_Tables_number 58
_symmetry_space_group_name_Hall '-P 2 2n'
_cell_length_a 7.045
_cell_length_b 7.851
_cell_length_c 6.580
_cell_angle_alpha 90.00
_cell_angle_beta 90.00
_cell_angle_gamma 90.00
loop_
_atom_site_label
_atom_site_type_symbol
_atom_site_fract_x
_atom_site_fract_y
_atom_site_fract_z
_atom_site_occupancy
Li1 Li 0.000 0.000 0.206 1
Li2 Li 0.028 0.343 0.238 1
Li3 Li 0.215 0.915 0.500 1
Li4 Li 0.239 0.710 0.000 1
Co1 Co 0.223 0.607 0.500 1
O1 O 0.014 0.760 0.500 1
O2 O 0.028 0.200 0.000 1
O3 O 0.215 0.527 0.238 1
```

E_form (uncorrected): -1.599 eV per atom

Material: CaCu2
Method: DFT, GGA-PBEsol
State: relaxed

CIF file:
```
data_CaCu2
_symmetry_space_group_name_H-M 'C 1 2/m 1'
_symmetry_Int_Tables_number 12
_symmetry_space_group_name_Hall '-C 2y'
_cell_length_a 10.319
_cell_length_b 4.080
_cell_length_c 5.594
_cell_angle_alpha 90.00
_cell_angle_beta 108.34
_cell_angle_gamma 90.00
loop_
_atom_site_label
_atom_site_type_symbol
_atom_site_fract_x
_atom_site_fract_y
_atom_site_fract_z
_atom_site_occupancy
Ca1 Ca 0.108 0.000 0.306 1
Cu1 Cu 0.101 0.500 0.698 1
Cu2 Cu 0.221 0.000 0.880 1
```

ΔE_f: -63.3 meV/atom

Material: Ti2GaO
Method: DFT, GGA-PBEsol
State: relaxed

CIF file:
```
data_Ti2GaO
_symmetry_space_group_name_H-M 'F m -3 m'
_symmetry_Int_Tables_number 225
_symmetry_space_group_name_Hall '-F 4 2 3'
_cell_length_a 5.971
_cell_length_b 5.971
_cell_length_c 5.971
_cell_angle_alpha 90.00
_cell_angle_beta 90.00
_cell_angle_gamma 90.00
loop_
_atom_site_label
_atom_site_type_symbol
_atom_site_fract_x
_atom_site_fract_y
_atom_site_fract_z
_atom_site_occupancy
Ti1 Ti 0.250 0.250 0.250 1
Ga1 Ga 0.000 0.000 0.000 1
O1 O 0.000 0.000 0.500 1
```

E_form (uncorrected): -0.397 eV per atom

Material: YBiSe2N
Method: DFT, GGA-PBEsol
State: relaxed

CIF file:
```
data_YBiSe2N
_symmetry_space_group_name_H-M 'P 4/m m m'
_symmetry_Int_Tables_number 123
_symmetry_space_group_name_Hall '-P 4 2'
_cell_length_a 5.397
_cell_length_b 5.397
_cell_length_c 4.156
_cell_angle_alpha 90.00
_cell_angle_beta 90.00
_cell_angle_gamma 90.00
loop_
_atom_site_label
_atom_site_type_symbol
_atom_site_fract_x
_atom_site_fract_y
_atom_site_fract_z
_atom_site_occupancy
Y1 Y 0.000 0.000 0.000 1
Bi1 Bi 0.500 0.500 0.500 1
Se1 Se 0.000 0.500 0.500 1
N1 N 0.500 0.500 0.000 1
```

E_form (uncorrected): 0.174 eV per atom

Number 1: final energy -20.4 eV per cell, calculated density 9.72 g/cm³. Number 2: final energy -35.6 eV per cell, calculated density 8.18 g/cm³. Number 3: final energy -61.1 eV per cell, calculated density 8.39 g/cm³. Number 4: final energy -28.6 eV per cell, calculated density 7.46 g/cm³. Number 5: final energy -24.6 eV per cell, calculated density 5.38 g/cm³. Number 6: final energy -80.8 eV per cell, calculated density 10.97 g/cm³. Number 7: final energy -94.6 eV per cell, calculated density 8.57 g/cm³. Number 8: final energy -152.3 eV per cell, calculated density 3.94 g/cm³. Number 9: final energy -218.2 eV per cell, calculated density 2.88 g/cm³. Number 10: final energy -44.0 eV per cell, calculated density 4.97 g/cm³. Number 11: final energy -107.3 eV per cell, calculated density 5.66 g/cm³. Number 12: final energy -26.5 eV per cell, calculated density 6.44 g/cm³.